[1]
DFT (PBE) results for a relaxed KTa2Ni crystal.

Lattice parameters (Å, degrees): 5.2700 6.1981 2.7100 80.01 83.90 113.70
With the nearest neighbours (Å) after each atom.
Element x y z (fractional)
Ni1 0.5000 0.5000 0.0000  2 Ni 2.71, 2 K 2.83
K1 0.0000 0.5000 0.5000  2 K 2.71, 2 Ni 2.83
Ta1 0.0000 0.0000 0.0000  4 Ta 2.71-2.83
Ta2 0.5000 0.0000 0.5000  4 Ta 2.71-2.83

## Properties
The total energy comes out at -6.495 eV/atom. As for the total moment: 0.00 Bohr magnetons per cell. Its space group is C2/m. Its excess energy over the best structure of this formula in the dataset is 0.654 eV/atom. The density of states at the Fermi level is 1.202 states/eV/atom. The value obtained for the energy relative to the elements is 1151 meV/atom.

[2]
DFT (PBE) results for a relaxed BeReAg2 crystal.

Lattice parameters (Å, degrees): 4.4032 4.4032 4.4032 119.87 119.87 90.22
With the nearest neighbours (Å) after each atom.
Element x y z (fractional)
Re1 0.7500 0.2500 0.5000  4 Be 2.70, 4 Ag 2.70
Ag1 0.0000 0.0000 0.0000  4 Re 2.70, 4 Ag 2.70
Ag2 0.2500 0.7500 0.5000  4 Be 2.70, 4 Ag 2.70
Be1 0.5000 0.5000 0.0000  4 Re 2.70, 4 Ag 2.70

## Properties
The total energy comes out at -4.640 eV/atom. As for the total moment: 1.98 Bohr magnetons per cell. Its space group is I-4m2. The density of states at the Fermi level is 0.580 states/eV/atom. The value obtained for the energy relative to the elements is 829 meV/atom.

[3]
DFT (PBE) results for a relaxed TmAgSn crystal.

Lattice parameters (Å, degrees): 3.5087 3.5087 6.2569 106.28 106.28 90.00
With the nearest neighbours (Å) after each atom.
Element x y z (fractional)
Sn1 0.9394 0.9394 0.8788  4 Ag 3.06, 4 Tm 3.29
Ag1 0.2830 0.2830 0.5660  4 Tm 3.06, 4 Sn 3.06
Tm1 0.6276 0.6276 0.2552  4 Ag 3.06, 4 Sn 3.29

## Properties
The total energy comes out at -4.065 eV/atom. As for the total moment: 0.05 Bohr magnetons per cell. Its space group is I4mm. The density of states at the Fermi level is 0.606 states/eV/atom. The value obtained for the energy relative to the elements is -290 meV/atom.

[4]
DFT (PBE) results for a relaxed In2SbMo crystal.

Lattice parameters (Å, degrees): 3.6202 4.8452 4.9197 90.00 90.00 90.00
With the nearest neighbours (Å) after each atom.
Element x y z (fractional)
In1 0.0000 0.0000 0.0000  4 In 3.02, 4 Mo 3.05
Sb1 0.0000 0.5000 0.5000  4 Mo 3.02, 4 In 3.05
Mo1 0.5000 0.0000 0.5000  4 Sb 3.02, 4 In 3.05
In2 0.5000 0.5000 0.0000  4 In 3.02, 4 Sb 3.05

## Properties
The total energy comes out at -4.569 eV/atom. As for the total moment: 0.56 Bohr magnetons per cell. Its space group is Pmmm. The value obtained for the raw formation energy is 0.54 eV/atom. The density of states at the Fermi level is 0.935 states/eV/atom.